# 1
# Na4Pm3GaS8

An optimized crystal structure of Na4Pm3GaS8 (PBE, Alexandria via LeMat-Bulk).

Output
- Crystal system: monoclinic
- M_tot: 0.00 μB/atom
- E_tot: -159.31 eV per cell
- Calculated density: 3.81 g/cm3

a = 13.8931 Å, b = 7.9845 Å, c = 8.1564 Å
α = 90.00°, β = 124.64°, γ = 90.00°
Space group C2/m (No. 12)
Inequivalent atoms, fractional coordinates:
Na: 0.0000 0.0000 0.0000 (multiplicity 2)
Na: 0.0000 0.5000 0.0000 (multiplicity 2)
Na: 0.2500 0.2500 0.0000 (multiplicity 4)
Pm: 0.0000 0.0000 0.5000 (multiplicity 2)
Pm: 0.2500 0.2500 0.5000 (multiplicity 4)
Ga: 0.0000 0.5000 0.5000 (multiplicity 2)
S: 0.0028 0.2718 0.2799 (multiplicity 8)
S: 0.2377 0.5000 0.7304 (multiplicity 4)
S: 0.2442 0.0000 0.7339 (multiplicity 4)

=====

# 2
# Na2PmGaS4

An optimized crystal structure of Na2PmGaS4 (PBE, Alexandria via LeMat-Bulk).

Output
- Crystal system: monoclinic
- M_tot: 0.00 μB/atom
- E_tot: -147.26 eV per cell
- Calculated density: 3.71 g/cm3

a = 11.1318 Å, b = 11.2628 Å, c = 7.5719 Å
α = 90.00°, β = 132.80°, γ = 90.00°
Space group C2/c (No. 15)
Inequivalent atoms, fractional coordinates:
Na: 0.0000 0.0000 0.0000 (multiplicity 4)
Na: 0.2500 0.2500 0.0000 (multiplicity 4)
Pm: 0.2500 0.2500 0.5000 (multiplicity 4)
Ga: 0.0000 0.5000 0.0000 (multiplicity 4)
S: 0.0002 0.2584 0.0017 (multiplicity 8)
S: 0.2061 0.4993 0.9581 (multiplicity 8)

=====

# 3
# Na2PmGaSb2

An optimized crystal structure of Na2PmGaSb2 (PBE, Alexandria via LeMat-Bulk).

Output
- Crystal system: orthorhombic
- M_tot: 0.00 μB/atom
- E_tot: -43.35 eV per cell
- Calculated density: 4.91 g/cm3

a = 4.5181 Å, b = 9.0780 Å, c = 8.3127 Å
α = 90.00°, β = 90.00°, γ = 90.00°
Space group Pmc2_1 (No. 26)
Inequivalent atoms, fractional coordinates:
Na: 0.0000 0.0907 0.0000 (multiplicity 2)
Na: 0.5000 0.1503 0.3274 (multiplicity 2)
Pm: 0.5000 0.4790 0.9633 (multiplicity 2)
Ga: 0.0000 0.3259 0.6080 (multiplicity 2)
Sb: 0.0000 0.3704 0.2197 (multiplicity 2)
Sb: 0.5000 0.1834 0.7265 (multiplicity 2)

=====

# 4
# NaPmSmGa

An optimized crystal structure of NaPmSmGa (PBE, Alexandria via LeMat-Bulk).

Output
- Crystal system: cubic
- M_tot: 0.00 μB/atom
- E_tot: -57.52 eV per cell
- Calculated density: 5.99 g/cm3
- ΔE_f: -0.141 eV per atom

a = 7.5480 Å, b = 7.5480 Å, c = 7.5480 Å
α = 90.00°, β = 90.00°, γ = 90.00°
Space group F-43m (No. 216)
Inequivalent atoms, fractional coordinates:
Na: 0.0000 0.0000 0.0000 (multiplicity 4)
Pm: 0.2500 0.2500 0.2500 (multiplicity 4)
Sm: 0.2500 0.2500 0.7500 (multiplicity 4)
Ga: 0.0000 0.0000 0.5000 (multiplicity 4)